[1]
# TlTePt2 GGA-PBE optimized geometry
data_TlTePt2
_symmetry_space_group_name_H-M 'P 1'
_symmetry_Int_Tables_number 1
_symmetry_space_group_name_Hall 'P 1'
_cell_length_a 4.8548
_cell_length_b 4.8548
_cell_length_c 4.8548
_cell_angle_alpha 60.00
_cell_angle_beta 60.00
_cell_angle_gamma 60.00
loop_
_atom_site_label
_atom_site_type_symbol
_atom_site_fract_x
_atom_site_fract_y
_atom_site_fract_z
Tl1 Tl 0.0000 0.0000 0.0000
Te1 Te 0.5000 0.5000 0.5000
Pt1 Pt 0.2500 0.2500 0.2500
Pt2 Pt 0.7500 0.7500 0.7500
# - Density of states at the Fermi level: 3.1 states/eV per cell
# - ρ: 14.8 g cm⁻³
# - Formation energy (no corrections): 0.16 eV per atom

---

[2]
# TlTe2Pt GGA-PBE optimized geometry
data_TlTe2Pt
_symmetry_space_group_name_H-M 'P 1'
_symmetry_Int_Tables_number 1
_symmetry_space_group_name_Hall 'P 1'
_cell_length_a 3.2806
_cell_length_b 3.8432
_cell_length_c 9.7140
_cell_angle_alpha 90.00
_cell_angle_beta 90.00
_cell_angle_gamma 90.00
loop_
_atom_site_label
_atom_site_type_symbol
_atom_site_fract_x
_atom_site_fract_y
_atom_site_fract_z
Tl1 Tl 0.0000 0.0000 0.0000
Te1 Te 0.0000 0.0000 0.4079
Te2 Te 0.5000 0.5000 0.7651
Pt1 Pt 0.5000 0.5000 0.3132
# - Density of states at the Fermi level: 1.7 states/eV per cell
# - ρ: 8.9 g cm⁻³
# - Formation energy (no corrections): 0.01 eV per atom

---

[3]
# TlTePt2 GGA-PBE optimized geometry
data_TlTePt2
_symmetry_space_group_name_H-M 'P 1'
_symmetry_Int_Tables_number 1
_symmetry_space_group_name_Hall 'P 1'
_cell_length_a 3.9348
_cell_length_b 3.9348
_cell_length_c 6.9228
_cell_angle_alpha 107.29
_cell_angle_beta 107.29
_cell_angle_gamma 61.36
loop_
_atom_site_label
_atom_site_type_symbol
_atom_site_fract_x
_atom_site_fract_y
_atom_site_fract_z
Tl1 Tl 0.0000 0.0000 0.0000
Te1 Te 0.5000 0.5000 0.5000
Pt1 Pt 0.2455 0.2455 0.7362
Pt2 Pt 0.7545 0.7545 0.2638
# - Density of states at the Fermi level: 2.6 states/eV per cell
# - ρ: 13.6 g cm⁻³
# - Formation energy (no corrections): -0.03 eV per atom

---

[4]
# TlTe2Pt GGA-PBE optimized geometry
data_TlTe2Pt
_symmetry_space_group_name_H-M 'P 1'
_symmetry_Int_Tables_number 1
_symmetry_space_group_name_Hall 'P 1'
_cell_length_a 7.9927
_cell_length_b 7.9927
_cell_length_c 7.9927
_cell_angle_alpha 29.76
_cell_angle_beta 29.76
_cell_angle_gamma 29.76
loop_
_atom_site_label
_atom_site_type_symbol
_atom_site_fract_x
_atom_site_fract_y
_atom_site_fract_z
Tl1 Tl 0.0000 0.0000 0.0000
Te1 Te 0.2278 0.2278 0.2278
Te2 Te 0.7722 0.7722 0.7722
Pt1 Pt 0.5000 0.5000 0.5000
# - Density of states at the Fermi level: 2.4 states/eV per cell
# - ρ: 9.8 g cm⁻³
# - Formation energy (no corrections): -0.29 eV per atom

---

[5]
# TlTe2Pt GGA-PBE optimized geometry
data_TlTe2Pt
_symmetry_space_group_name_H-M 'P 1'
_symmetry_Int_Tables_number 1
_symmetry_space_group_name_Hall 'P 1'
_cell_length_a 4.0056
_cell_length_b 7.0468
_cell_length_c 8.5657
_cell_angle_alpha 79.12
_cell_angle_beta 89.98
_cell_angle_gamma 89.75
loop_
_atom_site_label
_atom_site_type_symbol
_atom_site_fract_x
_atom_site_fract_y
_atom_site_fract_z
Tl1 Tl 0.0000 0.0000 0.0000
Tl2 Tl 0.4942 0.8180 0.6392
Te1 Te 0.5000 0.2729 0.6968
Te2 Te 0.5009 0.1878 0.3046
Te3 Te 0.9972 0.6298 0.3349
Te4 Te 0.9981 0.5449 0.9427
Pt1 Pt 0.0002 0.2503 0.4931
Pt2 Pt 0.4979 0.5672 0.1464
# - Density of states at the Fermi level: 2.6 states/eV per cell
# - ρ: 9.2 g cm⁻³
# - Formation energy (no corrections): -0.28 eV per atom

---

[6]
# TlTe2Pt GGA-PBE optimized geometry
data_TlTe2Pt
_symmetry_space_group_name_H-M 'P 1'
_symmetry_Int_Tables_number 1
_symmetry_space_group_name_Hall 'P 1'
_cell_length_a 3.8625
_cell_length_b 4.7229
_cell_length_c 5.4823
_cell_angle_alpha 90.00
_cell_angle_beta 90.00
_cell_angle_gamma 90.00
loop_
_atom_site_label
_atom_site_type_symbol
_atom_site_fract_x
_atom_site_fract_y
_atom_site_fract_z
Tl1 Tl 0.0000 0.0000 0.0000
Te1 Te 0.0000 0.5000 0.5000
Te2 Te 0.5000 0.5000 0.0000
Pt1 Pt 0.5000 0.0000 0.5000
# - Density of states at the Fermi level: 1.8 states/eV per cell
# - ρ: 10.9 g cm⁻³
# - Formation energy (no corrections): 0.28 eV per atom

---

How do the records compare in excess energy over the best structure of this formula in the dataset? In the order shown, they have 0.263; 0.299; 0.072; 0.000; 0.014; 0.578 eV per atom.